No. 1
A relaxed Dy2YFeNi8 crystal. Source: the Open Quantum Materials Database, functional GGA-PBE.

```
12
Lattice="2.498 1.442 8.040 -2.498 1.442 8.040 0.000 -2.885 8.040" Properties=species:S:1:pos:R:3 pbc="T T T"
Dy 0.000 0.000 3.348
Dy 0.000 0.000 20.773
Y 0.000 0.000 0.000
Fe 0.000 0.000 12.060
Ni -1.255 -0.724 10.049
Ni 0.000 0.000 8.041
Ni 0.000 -1.449 14.072
Ni -1.255 0.724 14.072
Ni 1.255 -0.724 10.049
Ni 0.000 1.449 10.049
Ni 0.000 0.000 16.080
Ni 1.255 0.724 14.072
```

crystal system = trigonal
E_tot = -6.059 eV per atom
symmetry = R-3m, No. 166

No. 2
A relaxed ZnBr crystal. Source: the Open Quantum Materials Database, functional GGA-PBE.

```
4
Lattice="3.915 0.000 0.000 -1.957 3.390 0.000 0.000 0.000 7.141" Properties=species:S:1:pos:R:3 pbc="T T T"
Zn 0.000 2.260 1.785
Zn 1.957 1.130 5.356
Br 0.000 0.000 0.000
Br 0.000 0.000 3.570
```

crystal system = hexagonal
E_tot = -1.569 eV per atom
symmetry = P6_3/mmc, No. 194

No. 3
A relaxed Lu2Zr4As3N3 crystal. Source: the Open Quantum Materials Database, functional GGA-PBE.

```
24
Lattice="5.208 -3.011 0.000 5.208 3.011 0.000 -3.473 0.000 12.571" Properties=species:S:1:pos:R:3 pbc="T T T"
Lu 2.609 2.512 7.550
Lu 2.596 2.512 11.307
Lu 4.346 -2.512 1.264
Lu 4.333 -2.512 5.021
Zr 2.602 0.504 1.222
Zr 2.602 0.505 5.065
Zr 0.865 -0.504 7.507
Zr 0.866 -0.505 11.351
Zr 6.076 0.505 1.220
Zr 6.077 0.504 5.064
Zr 4.340 -0.505 7.506
Zr 4.340 -0.504 11.350
As -0.829 0.523 9.432
As 0.908 -0.523 3.146
As 2.603 0.456 9.428
As 4.339 -0.456 3.143
As 6.034 0.523 9.425
As 7.771 -0.523 3.139
N 0.867 1.506 6.286
N 4.342 1.511 0.000
N 4.336 1.511 6.286
N 2.604 -1.506 0.000
N 2.606 -1.511 6.286
N 6.073 -1.511 0.000
```

crystal system = monoclinic
E_tot = -8.196 eV per atom
symmetry = C2/c, No. 15

No. 4
A relaxed Dy3Y3Bi2Os crystal. Source: the Open Quantum Materials Database, functional GGA-PBE.

```
9
Lattice="8.311 0.000 0.000 -4.156 7.198 0.000 0.000 0.000 4.244" Properties=species:S:1:pos:R:3 pbc="T T T"
Dy -1.617 2.801 0.000
Dy 3.234 0.000 0.000
Dy 2.538 4.397 0.000
Y -3.181 5.510 2.122
Y 0.974 1.688 2.122
Y 6.363 0.000 2.122
Bi 0.000 4.799 2.122
Bi 4.156 2.399 2.122
Os 0.000 0.000 0.000
```

crystal system = hexagonal
symmetry = P-62m, No. 189
offset from the most stable computed form = 21 meV per atom

No. 5
A relaxed GaAgTeO crystal. Source: the Open Quantum Materials Database, functional GGA-PBE.

```
8
Lattice="4.132 0.000 0.000 0.000 7.473 0.000 0.000 0.000 5.772" Properties=species:S:1:pos:R:3 pbc="T T T"
Ga 0.000 0.822 0.000
Ga 0.000 6.651 2.886
Ag 2.066 2.147 3.431
Ag 2.066 5.326 0.545
Te 2.066 2.353 0.661
Te 2.066 5.120 3.547
O 0.000 0.740 3.895
O 0.000 6.732 1.009
```

crystal system = orthorhombic
symmetry = Pmc2_1, No. 26
offset from the most stable computed form = 0 meV per atom

No. 6
A relaxed Nd3CuSiS7 crystal. Source: the Open Quantum Materials Database, functional GGA-PBE.

```
24
Lattice="10.182 0.000 0.000 -5.091 8.818 0.000 0.000 0.000 5.769" Properties=species:S:1:pos:R:3 pbc="T T T"
Nd -0.560 3.144 0.000
Nd -2.088 7.731 0.000
Nd 2.443 2.057 2.885
Nd 2.648 6.761 0.000
Nd 7.179 1.087 2.885
Nd 5.651 5.674 2.885
Cu 0.000 0.000 0.142
Cu 0.000 0.000 3.027
Si 0.000 5.879 2.392
Si 5.091 2.939 5.276
S -0.402 2.227 2.962
S -1.854 5.191 1.554
S -2.961 8.053 2.962
S 1.728 1.462 0.077
S 0.000 5.879 4.503
S 1.523 4.617 1.554
S 0.331 7.828 1.554
S 4.760 0.990 4.439
S 3.568 4.201 4.439
S 5.091 2.939 1.619
S 3.363 7.356 2.962
S 8.052 0.765 0.077
S 6.945 3.627 4.439
S 5.493 6.591 0.077
```

crystal system = hexagonal
E_tot = -5.915 eV per atom
symmetry = P6_3, No. 173

No. 7
A relaxed LuFeAg crystal. Source: the Open Quantum Materials Database, functional GGA-PBE.

```
12
Lattice="6.318 0.000 0.000 0.000 6.318 0.000 0.000 0.000 6.318" Properties=species:S:1:pos:R:3 pbc="T T T"
Lu 0.000 0.000 0.000
Lu 0.000 3.159 3.159
Lu 3.159 0.000 3.159
Lu 3.159 3.159 0.000
Fe 1.579 1.579 4.738
Fe 1.579 4.738 1.579
Fe 4.738 1.579 1.579
Fe 4.738 4.738 4.738
Ag 0.000 0.000 3.159
Ag 0.000 3.159 0.000
Ag 3.159 0.000 0.000
Ag 3.159 3.159 3.159
```

crystal system = cubic
E_tot = -4.835 eV per atom
symmetry = F-43m, No. 216

No. 8
A relaxed RbMoAuSeS2 crystal. Source: the Open Quantum Materials Database, functional GGA-PBE.

```
12
Lattice="1.893 -7.863 0.000 1.893 7.863 0.000 0.000 0.000 10.045" Properties=species:S:1:pos:R:3 pbc="T T T"
Rb 1.893 4.021 7.534
Rb 1.893 -4.021 2.511
Mo 0.000 0.000 0.000
Mo 0.000 0.000 5.023
Au 1.893 0.909 2.511
Au 1.893 -0.909 7.534
Se 1.893 6.774 2.511
Se 1.893 -6.774 7.534
S 1.893 1.650 0.260
S 1.893 1.650 4.762
S 1.893 -1.650 5.283
S 1.893 -1.650 9.785
```

crystal system = orthorhombic
E_tot = -4.868 eV per atom
symmetry = Cmcm, No. 63

No. 9
A relaxed PmErSi3 crystal. Source: the Open Quantum Materials Database, functional GGA-PBE.

```
10
Lattice="2.100 -12.293 0.000 2.100 12.293 0.000 0.000 0.000 3.945" Properties=species:S:1:pos:R:3 pbc="T T T"
Pm 2.100 10.555 2.959
Pm 2.100 -10.555 0.986
Er 2.100 7.299 0.986
Er 2.100 -7.299 2.959
Si 2.100 4.409 0.986
Si 2.100 2.973 2.959
Si 2.100 0.621 2.959
Si 2.100 -0.621 0.986
Si 2.100 -2.973 0.986
Si 2.100 -4.409 2.959
```

crystal system = orthorhombic
E_tot = -5.815 eV per atom
symmetry = Cmcm, No. 63

No. 10
A relaxed Ba2AuSe crystal. Source: the Open Quantum Materials Database, functional GGA-PBE.

```
8
Lattice="6.519 0.000 0.000 0.000 4.911 0.000 -1.012 0.000 8.807" Properties=species:S:1:pos:R:3 pbc="T T T"
Ba 1.022 1.228 1.477
Ba 1.189 1.228 5.851
Ba 4.318 3.683 2.956
Ba 4.485 3.683 7.330
Au 1.327 3.683 8.408
Au 4.180 1.228 0.399
Se 1.091 3.683 3.682
Se 4.416 1.228 5.125
```

crystal system = monoclinic
E_tot = -3.921 eV per atom
symmetry = P2_1/m, No. 11

No. 11
A relaxed ScTePbAuSe2 crystal. Source: the Open Quantum Materials Database, functional GGA-PBE.

```
12
Lattice="2.014 -7.093 0.000 2.014 7.093 0.000 0.000 0.000 10.835" Properties=species:S:1:pos:R:3 pbc="T T T"
Sc 0.000 0.000 0.000
Sc 0.000 0.000 5.417
Te 2.014 5.701 8.126
Te 2.014 -5.701 2.709
Pb 2.014 4.111 2.709
Pb 2.014 -4.111 8.126
Au 2.014 0.550 8.126
Au 2.014 -0.550 2.709
Se 2.014 1.868 5.873
Se 2.014 1.868 10.379
Se 2.014 -1.868 0.456
Se 2.014 -1.868 4.962
```

crystal system = orthorhombic
E_tot = -4.648 eV per atom
symmetry = Cmcm, No. 63

No. 12
A relaxed RbErGeTe3 crystal. Source: the Open Quantum Materials Database, functional GGA-PBE.

```
12
Lattice="2.298 -8.051 0.000 2.298 8.051 0.000 0.000 0.000 12.061" Properties=species:S:1:pos:R:3 pbc="T T T"
Rb 2.298 4.050 9.046
Rb 2.298 -4.050 3.015
Er 0.000 0.000 0.000
Er 0.000 0.000 6.030
Ge 2.298 0.673 3.015
Ge 2.298 -0.673 9.046
Te 2.298 7.046 3.015
Te 2.298 2.060 0.486
Te 2.298 2.060 5.545
Te 2.298 -2.060 6.516
Te 2.298 -2.060 11.575
Te 2.298 -7.046 9.046
```

crystal system = orthorhombic
symmetry = Cmcm, No. 63
offset from the most stable computed form = 99 meV per atom

No. 13
A relaxed Dy3Ho2Lu3 crystal. Source: the Open Quantum Materials Database, functional GGA-PBE.

```
16
Lattice="5.532 0.000 0.000 0.000 7.135 0.000 0.000 0.000 12.359" Properties=species:S:1:pos:R:3 pbc="T T T"
Dy 0.000 0.000 0.000
Dy 0.000 3.568 6.179
Dy 2.766 1.780 11.338
Dy 2.766 1.787 5.159
Dy 2.766 5.348 5.159
Dy 2.766 5.355 11.338
Ho 0.000 0.000 6.178
Ho 0.000 3.568 12.357
Ho 2.766 0.000 2.062
Ho 2.766 3.568 8.241
Lu 0.000 1.783 3.101
Lu 0.000 1.784 9.280
Lu 0.000 5.352 3.101
Lu 0.000 5.351 9.280
Lu 2.766 0.000 8.246
Lu 2.766 3.568 2.067
```

crystal system = orthorhombic
E_tot = -4.562 eV per atom
symmetry = Amm2, No. 38

No. 14
A relaxed Ho3Mg3Ag2Hg crystal. Source: the Open Quantum Materials Database, functional GGA-PBE.

```
9
Lattice="7.689 0.000 0.000 -3.844 6.659 0.000 0.000 0.000 4.136" Properties=species:S:1:pos:R:3 pbc="T T T"
Ho -1.589 2.751 0.000
Ho 3.177 0.000 0.000
Ho 2.256 3.907 0.000
Mg -2.871 4.973 2.068
Mg 0.973 1.686 2.068
Mg 5.743 0.000 2.068
Ag 0.000 4.439 2.068
Ag 3.844 2.220 2.068
Hg 0.000 0.000 0.000
```

crystal system = hexagonal
E_tot = -3.007 eV per atom
symmetry = P-62m, No. 189

No. 15
A relaxed TbTmAl4 crystal. Source: the Open Quantum Materials Database, functional GGA-PBE.

```
12
Lattice="4.306 0.000 0.000 0.000 4.326 0.000 0.000 0.000 13.351" Properties=species:S:1:pos:R:3 pbc="T T T"
Tb 0.000 0.000 0.000
Tb 0.000 2.163 6.676
Tm 0.000 0.000 4.145
Tm 0.000 2.163 10.820
Al 0.000 0.000 8.765
Al 0.000 2.163 2.089
Al 2.153 0.000 2.091
Al 2.153 0.000 6.530
Al 2.153 0.000 10.911
Al 2.153 2.163 4.235
Al 2.153 2.163 8.766
Al 2.153 2.163 13.206
```

crystal system = orthorhombic
E_tot = -4.384 eV per atom
symmetry = Amm2, No. 38

No. 16
A relaxed HoErSi2Pd crystal. Source: the Open Quantum Materials Database, functional GGA-PBE.

```
10
Lattice="5.218 -2.113 0.000 5.218 2.113 0.000 -4.714 0.000 8.867" Properties=species:S:1:pos:R:3 pbc="T T T"
Ho 1.438 0.000 0.944
Ho 4.285 0.000 7.922
Er -1.512 0.000 2.867
Er 7.235 0.000 6.000
Si 1.797 0.000 3.845
Si 4.475 0.000 1.010
Si 1.248 0.000 7.857
Si 3.926 0.000 5.021
Pd -0.130 0.000 5.654
Pd 5.853 0.000 3.212
```

crystal system = monoclinic
E_tot = -5.963 eV per atom
symmetry = C2/m, No. 12

No. 17
A relaxed Cs3TmCl6 crystal. Source: the Open Quantum Materials Database, functional GGA-PBE.

```
20
Lattice="8.006 0.000 0.000 0.000 8.393 0.000 -7.948 0.000 11.417" Properties=species:S:1:pos:R:3 pbc="T T T"
Cs 0.000 0.000 0.000
Cs -3.974 4.196 5.708
Cs -4.129 0.513 8.530
Cs -0.155 3.683 2.822
Cs 0.212 4.710 8.595
Cs 4.186 7.879 2.887
Tm 0.029 0.000 5.708
Tm 4.003 4.196 0.000
Cl -2.079 1.455 5.190
Cl -6.053 2.741 10.899
Cl -1.288 6.238 4.985
Cl -5.262 6.352 10.694
Cl 0.848 0.355 3.254
Cl -3.126 3.841 8.963
Cl 3.183 4.552 2.454
Cl -0.791 8.038 8.163
Cl 5.319 2.041 0.723
Cl 1.345 2.155 6.432
Cl 6.110 5.652 0.518
Cl 2.136 6.938 6.227
```

crystal system = monoclinic
E_tot = -3.981 eV per atom
symmetry = P2_1/c, No. 14

No. 18
A relaxed TmNp crystal. Source: the Open Quantum Materials Database, functional GGA-PBE.

```
8
Lattice="6.682 0.000 0.000 0.000 6.682 0.000 0.000 0.000 6.682" Properties=species:S:1:pos:R:3 pbc="T T T"
Tm 0.000 0.000 0.000
Tm 0.000 3.341 3.341
Tm 3.341 0.000 3.341
Tm 3.341 3.341 0.000
Np 1.671 1.671 1.671
Np 1.671 5.012 5.012
Np 5.012 1.671 5.012
Np 5.012 5.012 1.671
```

crystal system = cubic
symmetry = F-43m, No. 216
offset from the most stable computed form = 1972 meV per atom

No. 19
A relaxed NaInCoAs crystal. Source: the Open Quantum Materials Database, functional GGA-PBE.

```
16
Lattice="6.695 0.000 0.000 0.000 6.695 0.000 0.000 0.000 6.695" Properties=species:S:1:pos:R:3 pbc="T T T"
Na 0.000 0.000 0.000
Na 0.000 3.347 3.347
Na 3.347 0.000 3.347
Na 3.347 3.347 0.000
In 0.000 0.000 3.347
In 0.000 3.347 0.000
In 3.347 0.000 0.000
In 3.347 3.347 3.347
Co 1.674 1.674 1.674
Co 1.674 5.021 5.021
Co 5.021 1.674 5.021
Co 5.021 5.021 1.674
As 1.674 1.674 5.021
As 1.674 5.021 1.674
As 5.021 1.674 1.674
As 5.021 5.021 5.021
```

crystal system = cubic
symmetry = F-43m, No. 216
offset from the most stable computed form = 187 meV per atom

No. 20
A relaxed GdMgS2 crystal. Source: the Open Quantum Materials Database, functional GGA-PBE.

```
4
Lattice="3.864 0.000 0.000 0.000 3.864 0.000 0.000 0.000 5.508" Properties=species:S:1:pos:R:3 pbc="T T T"
Gd 0.000 0.000 0.000
Mg 1.932 1.932 2.754
S 0.000 0.000 2.754
S 1.932 1.932 0.000
```

crystal system = tetragonal
E_tot = -5.209 eV per atom
symmetry = P4/mmm, No. 123

No. 21
A relaxed BeCdNiAs crystal. Source: the Open Quantum Materials Database, functional GGA-PBE.

```
16
Lattice="6.203 0.000 0.000 0.000 6.203 0.000 0.000 0.000 6.203" Properties=species:S:1:pos:R:3 pbc="T T T"
Be 0.000 0.000 0.000
Be 0.000 3.102 3.102
Be 3.102 0.000 3.102
Be 3.102 3.102 0.000
Cd 1.551 1.551 4.653
Cd 1.551 4.653 1.551
Cd 4.653 1.551 1.551
Cd 4.653 4.653 4.653
Ni 0.000 0.000 3.102
Ni 0.000 3.102 0.000
Ni 3.102 0.000 0.000
Ni 3.102 3.102 3.102
As 1.551 1.551 1.551
As 1.551 4.653 4.653
As 4.653 1.551 4.653
As 4.653 4.653 1.551
```

crystal system = cubic
E_tot = -3.371 eV per atom
symmetry = F-43m, No. 216